This record from Alexandria describes K2InHg after structural relaxation. The functional is GGA-PBEsol.

Cell lengths 4.119, 4.785, 6.899 Å; angles 90.00, 90.00, 90.00 degrees
Element x y z (fractional)
K: 0.000 0.000 0.246
K: 0.000 0.000 0.754
In: 0.500 0.500 0.500
Hg: 0.500 0.500 0.000

Summary:
Calculated volume: 34.0 A^3/atom
Raw total energy: -1.472 eV/atom
ρ: 4.8 g/cm³
Energy of formation: -0.07 eV/f.u.
Magnetic moment: 0.0001 μB/atom
Polymorph energy (0 for the lowest one): 0.0937 eV per atom

---

This record from Alexandria describes KInHg2 after structural relaxation. The functional is GGA-PBEsol.

Cell lengths 3.406, 4.336, 7.508 Å; angles 90.00, 94.92, 90.00 degrees
Element x y z (fractional)
K: 0.000 0.000 0.000
In: 0.000 0.000 0.500
Hg: 0.450 0.500 0.714
Hg: 0.550 0.500 0.286

Summary:
Calculated volume: 27.6 A^3/atom
Raw total energy: -1.464 eV/atom
ρ: 8.3 g/cm³
Energy of formation: -0.61 eV/f.u.
Magnetic moment: 0.0000 μB/atom

---

This record from Alexandria describes K2InHg after structural relaxation. The functional is GGA-PBEsol.

Cell lengths 3.974, 3.974, 9.685 Å; angles 90.00, 90.00, 90.00 degrees
Element x y z (fractional)
K: 0.000 0.000 0.000
K: 0.500 0.500 0.397
In: 0.500 0.500 0.755
Hg: 0.000 0.000 0.632

Summary:
Calculated volume: 38.2 A^3/atom
Raw total energy: -1.548 eV/atom
ρ: 4.3 g/cm³
Energy of formation: -0.37 eV/f.u.
Magnetic moment: 0.0000 μB/atom
Polymorph energy (0 for the lowest one): 0.0178 eV per atom